Entry 1:
Below is a PBEsol-optimized structure of Li2FeSb, with properties calculated at the meta-GGA SCAN level.

The structure belongs to space group R3m (No. 160, hexagonal axes); the cell edges are 3.1446, 3.1446 and 26.3448 Å and the angles 90.00°, 90.00° and 120.00°. The distinct sites, in fractional coordinates, are Li at (0.0000, 0.0000, 0.0000), Li at (0.0000, 0.0000, 0.2338), Fe at (0.0000, 0.0000, 0.7437) and Sb at (0.0000, 0.0000, 0.4783).

The total magnetic moment comes out at 8.2 μB per cell. Its uncorrected formation energy is 0.20 eV per atom.


Entry 2:
Below is a PBEsol-optimized structure of SrSiGe3, with properties calculated at the meta-GGA SCAN level.

The structure belongs to space group Pm-3m (No. 221); the cell edges are 5.401, 5.401 and 5.401 Å and the angles 90.00°, 90.00° and 90.00°. The distinct sites, in fractional coordinates, are Sr at (0.000, 0.000, 0.000), Si at (0.500, 0.500, 0.500) and Ge at (0.000, 0.000, 0.500).

The total magnetic moment comes out at 0.0 μB per cell. Its uncorrected formation energy is 1.75 eV per atom.


Entry 3:
Below is a PBEsol-optimized structure of Li2PbCl, with properties calculated at the meta-GGA SCAN level.

The structure belongs to space group I4/mmm (No. 139); the cell edges are 4.410, 4.410 and 8.756 Å and the angles 90.00°, 90.00° and 90.00°. The distinct sites, in fractional coordinates, are Li at (0.000, 0.500, 0.250), Pb at (0.000, 0.000, 0.000) and Cl at (0.000, 0.000, 0.500).

The total magnetic moment comes out at 0.0 μB per cell. Its uncorrected formation energy is -0.49 eV per atom. The energy above the most stable polymorph in this dataset is 329 meV per atom.


Entry 4:
Below is a PBEsol-optimized structure of Zn2NiRu, with properties calculated at the meta-GGA SCAN level.

The structure belongs to space group I-4m2 (No. 119); the cell edges are 3.716, 3.716 and 7.252 Å and the angles 90.00°, 90.00° and 90.00°. The distinct sites, in fractional coordinates, are Zn at (0.000, 0.000, 0.000), Zn at (0.000, 0.500, 0.250), Ni at (0.000, 0.000, 0.500) and Ru at (0.000, 0.500, 0.750).

The calculation puts the formation energy at 0.03 eV/atom. The total magnetic moment comes out at 0.0 μB per cell.


Entry 5:
Below is a PBEsol-optimized structure of ScBiTe2, with properties calculated at the meta-GGA SCAN level.

The structure belongs to space group R-3m (No. 166, hexagonal axes); the cell edges are 3.8868, 3.8868 and 28.8186 Å and the angles 90.00°, 90.00° and 120.00°. The distinct sites, in fractional coordinates, are Sc at (0.0000, 0.0000, 0.0000), Bi at (0.0000, 0.0000, 0.5000) and Te at (0.0000, 0.0000, 0.3942).

The total magnetic moment comes out at 0.0 μB per cell. Its uncorrected formation energy is -0.69 eV per atom.


Entry 6:
Below is a PBEsol-optimized structure of Zn3Ag, with properties calculated at the meta-GGA SCAN level.

The structure belongs to space group Pm-3n (No. 223); the cell edges are 4.924, 4.924 and 4.924 Å and the angles 90.00°, 90.00° and 90.00°. The distinct sites, in fractional coordinates, are Zn at (0.000, 0.250, 0.500) and Ag at (0.000, 0.000, 0.000).

The calculation puts the formation energy at 0.04 eV/atom. The total magnetic moment comes out at 0.0 μB per cell.


Entry 7:
Below is a PBEsol-optimized structure of Sr2EuTaCu2O8, with properties calculated at the meta-GGA SCAN level.

The structure belongs to space group P4/mmm (No. 123); the cell edges are 3.894, 3.894 and 11.481 Å and the angles 90.00°, 90.00° and 90.00°. The distinct sites, in fractional coordinates, are Sr at (0.000, 0.000, 0.202), Eu at (0.000, 0.000, 0.500), Ta at (0.500, 0.500, 0.000), Cu at (0.500, 0.500, 0.359), O at (0.000, 0.500, 0.000), O at (0.000, 0.500, 0.368) and O at (0.500, 0.500, 0.171).

The total magnetic moment comes out at 5.4 μB per cell. Its uncorrected formation energy is -2.52 eV per atom.


Entry 8:
Below is a PBEsol-optimized structure of BaLaSe2, with properties calculated at the meta-GGA SCAN level.

The structure belongs to space group I-4m2 (No. 119); the cell edges are 4.347, 4.347 and 12.813 Å and the angles 90.00°, 90.00° and 90.00°. The distinct sites, in fractional coordinates, are Ba at (0.000, 0.000, 0.000), La at (0.000, 0.500, 0.250), Se at (0.000, 0.000, 0.500) and Se at (0.000, 0.500, 0.750).

The total magnetic moment comes out at 1.1 μB per cell. Its uncorrected formation energy is -1.68 eV per atom. The energy above the most stable polymorph in this dataset is 556 meV per atom.


Q: Which formula does entry 2 have?
A: SrSiGe3